No. 1
This record from the Alexandria database describes crystalline Pr4HfPa3N8 at its relaxed geometry. The functional is PBE-GGA.

abc: 7.0453 7.1580 7.0454
angles: 119.48 120.00 90.00
Fractional positions:
N  0.2645  0.2934  0.5289
N  0.7355  0.7066  0.4711
N  0.7706  0.2988  0.0281
N  0.7706  0.2988  0.5413
N  0.7425  0.7012  0.9719
N  0.2575  0.2988  0.0281
N  0.2294  0.7012  0.4587
N  0.2294  0.7012  0.9719
Pr  0.0000  0.0000  0.5000
Pr  0.5000  0.0000  0.0000
Pr  0.5000  0.0000  0.5000
Pr  0.0000  0.0000  0.0000
Pa  0.5000  0.5000  0.5000
Pa  0.5000  0.5000  0.0000
Pa  0.0000  0.5000  0.5000
Hf  0.0000  0.5000  0.0000

Results
- Total DFT energy (no corrections): -9.3234 eV/atom
- Magnetization: 0.0 μB/f.u.
- Mass density: 10148 kg/m³
- Formation energy without anion corrections: -25.012 eV per formula unit
- N(E_F): 6.85 states/eV/f.u.



No. 2
This record from the Alexandria database describes crystalline PuHf3Pa2N6 at its relaxed geometry. The functional is PBE-GGA.

abc: 3.2878 6.8144 7.5675
angles: 106.19 102.55 90.00
Site moments in Bohr magnetons follow the coordinates.
Fractional positions:
N  0.6755  0.0695  0.3510  -0.01
N  0.0053  0.7294  0.0106  -0.05
N  0.3408  0.3979  0.6816  0.01
N  0.6592  0.6021  0.3184  0.01
N  0.9947  0.2706  0.9894  -0.05
N  0.3245  0.9305  0.6490  -0.01
Pa  0.1664  0.3319  0.3328  -0.01
Pa  0.8336  0.6681  0.6672  -0.01
Pu  0.5000  0.0000  0.0000  4.83
Hf  0.1646  0.8349  0.3293  0.00
Hf  0.8354  0.1651  0.6707  0.00
Hf  0.5000  0.5000  0.0000  0.00

Results
- Total DFT energy (no corrections): -11.1008 eV/atom
- Magnetization: 4.9 μB/f.u.
- Mass density: 13879 kg/m³
- Formation energy without anion corrections: -20.073 eV per formula unit
- N(E_F): 9.23 states/eV/f.u.



No. 3
This record from the Alexandria database describes crystalline PuHf2PaN4 at its relaxed geometry. The functional is PBE-GGA.

abc: 3.2945 5.9372 5.7100
angles: 71.49 90.00 90.00
Site moments in Bohr magnetons follow the coordinates.
Fractional positions:
N  0.5000  0.7809  0.2433  -0.01
N  0.0000  0.2207  0.2653  -0.04
N  0.5000  0.2191  0.7567  -0.01
N  0.0000  0.7793  0.7347  -0.04
Hf  0.5000  0.0000  0.5000  -0.01
Hf  0.0000  0.0000  0.0000  0.01
Pu  0.5000  0.5000  0.0000  4.82
Pa  0.0000  0.5000  0.5000  0.20

Results
- Total DFT energy (no corrections): -11.2779 eV/atom
- Magnetization: 5.1 μB/f.u.
- Mass density: 13924 kg/m³
- Formation energy without anion corrections: -13.187 eV per formula unit
- N(E_F): 7.97 states/eV/f.u.



No. 4
This record from the Alexandria database describes crystalline Pu3HfPa2N6 at its relaxed geometry. The functional is PBE-GGA.

abc: 5.9763 5.9763 5.9655
angles: 99.57 99.57 119.97
Site moments in Bohr magnetons follow the coordinates.
Fractional positions:
Pu  0.8339  0.1661  0.5000  4.85
Pu  0.1661  0.8339  0.5000  4.85
Pu  0.5000  0.5000  0.5000  4.85
N  0.0761  0.3973  0.2288  -0.09
N  0.9239  0.6027  0.7712  -0.09
N  0.2432  0.2432  0.7677  -0.08
N  0.7568  0.7568  0.2323  -0.08
N  0.3973  0.0761  0.2288  -0.09
N  0.6027  0.9239  0.7712  -0.09
Hf  0.0000  0.0000  0.0000  -0.03
Pa  0.3335  0.6665  0.0000  0.23
Pa  0.6665  0.3335  0.0000  0.23

Results
- Total DFT energy (no corrections): -11.6541 eV/atom
- Magnetization: 15.2 μB/f.u.
- Mass density: 13894 kg/m³
- Formation energy without anion corrections: -17.956 eV per formula unit
- N(E_F): 13.05 states/eV/f.u.



No. 5
This record from the Alexandria database describes crystalline Pu3Hf2PaN6 at its relaxed geometry. The functional is PBE-GGA.

abc: 5.8607 5.8607 5.9231
angles: 99.46 99.46 120.03
Site moments in Bohr magnetons follow the coordinates.
Fractional positions:
Pa  0.0000  0.0000  0.0000  0.29
N  0.4195  0.0754  0.2253  -0.08
N  0.2700  0.2700  0.7764  -0.08
N  0.0754  0.4195  0.2253  -0.08
N  0.7300  0.7300  0.2236  -0.08
N  0.5805  0.9246  0.7747  -0.08
N  0.9246  0.5805  0.7747  -0.08
Hf  0.6667  0.3333  0.0000  0.01
Hf  0.3333  0.6667  0.0000  0.01
Pu  0.8327  0.1673  0.5000  4.87
Pu  0.5000  0.5000  0.5000  4.87
Pu  0.1673  0.8327  0.5000  4.87

Results
- Total DFT energy (no corrections): -11.7254 eV/atom
- Magnetization: 15.1 μB/f.u.
- Mass density: 14017 kg/m³
- Formation energy without anion corrections: -18.354 eV per formula unit
- N(E_F): 15.78 states/eV/f.u.



No. 6
This record from the Alexandria database describes crystalline PuHfPa2N5 at its relaxed geometry. The functional is PBE-GGA.

abc: 3.4023 7.5559 9.9670
angles: 90.00 90.00 103.01
Site moments in Bohr magnetons follow the coordinates.
Fractional positions:
Hf  0.7802  0.5603  0.5017  0.06
Hf  0.2198  0.4397  0.0017  0.06
N  0.0846  0.1692  0.0814  -0.11
N  0.2766  0.5532  0.6644  -0.01
N  0.6944  0.3887  0.8659  -0.02
N  0.3056  0.6113  0.3659  -0.02
N  0.6374  0.2748  0.4900  -0.04
N  0.5193  0.0387  0.7478  -0.07
N  0.4807  0.9613  0.2478  -0.07
N  0.3626  0.7252  0.9900  -0.04
N  0.7234  0.4468  0.1644  -0.01
N  0.9154  0.8308  0.5814  -0.11
Pa  0.8616  0.7232  0.7915  0.26
Pa  0.1272  0.2544  0.6984  0.23
Pa  0.1384  0.2768  0.2915  0.26
Pa  0.8728  0.7456  0.1984  0.23
Pu  0.4760  0.9521  0.4829  4.64
Pu  0.5240  0.0479  0.9829  4.64

Results
- Total DFT energy (no corrections): -10.7925 eV/atom
- Magnetization: 5.3 μB/f.u.
- Mass density: 12699 kg/m³
- Formation energy without anion corrections: -12.228 eV per formula unit
- N(E_F): 10.08 states/eV/f.u.



No. 7
This record from the Alexandria database describes crystalline HfPa2ReN6 at its relaxed geometry. The functional is PBE-GGA.

abc: 4.9670 5.3809 5.3809
angles: 90.00 90.00 90.00
Fractional positions:
N  0.7393  0.2436  0.7564
N  0.7393  0.7564  0.7564
N  0.7393  0.2436  0.2436
N  0.7393  0.7564  0.2436
N  0.2102  0.0000  0.0000
N  0.1656  0.5000  0.5000
Pa  0.9849  0.5000  0.0000
Pa  0.9849  0.0000  0.5000
Re  0.5713  0.0000  0.0000
Hf  0.5727  0.5000  0.5000

Results
- Total DFT energy (no corrections): -10.1324 eV/atom
- Magnetization: 0.0 μB/f.u.
- Mass density: 10517 kg/m³
- Formation energy without anion corrections: -9.979 eV per formula unit
- N(E_F): 5.59 states/eV/f.u.



No. 8
This record from the Alexandria database describes crystalline Hf2PaRhN4 at its relaxed geometry. The functional is PBE-GGA.

abc: 3.2474 5.7731 11.3002
angles: 90.00 90.00 106.33
Fractional positions:
N  0.2783  0.5566  0.3912
N  0.2783  0.5566  0.1088
N  0.7217  0.4434  0.6088
N  0.0000  0.0000  0.0000
N  0.5197  0.0394  0.2500
N  0.7217  0.4434  0.8912
N  0.4803  0.9606  0.7500
N  0.0000  0.0000  0.5000
Hf  0.6295  0.2590  0.0546
Hf  0.6295  0.2590  0.4454
Hf  0.3705  0.7410  0.5546
Hf  0.3705  0.7410  0.9454
Rh  0.8457  0.6914  0.7500
Rh  0.1543  0.3086  0.2500
Pa  0.8828  0.7656  0.2500
Pa  0.1172  0.2344  0.7500

Results
- Total DFT energy (no corrections): -10.0459 eV/atom
- Magnetization: 0.0 μB/f.u.
- Mass density: 12202 kg/m³
- Formation energy without anion corrections: -10.312 eV per formula unit
- N(E_F): 1.41 states/eV/f.u.



No. 9
This record from the Alexandria database describes crystalline HfPaSb2N at its relaxed geometry. The functional is PBE-GGA.

abc: 3.9361 3.9361 13.9728
angles: 90.00 90.00 90.00
Fractional positions:
Hf  0.5000  0.0000  0.0725
Hf  0.0000  0.5000  0.9275
N  0.0000  0.0000  0.5000
N  0.5000  0.5000  0.5000
Pa  0.5000  0.0000  0.5841
Pa  0.0000  0.5000  0.4159
Sb  0.0000  0.5000  0.7118
Sb  0.5000  0.0000  0.8592
Sb  0.5000  0.0000  0.2882
Sb  0.0000  0.5000  0.1408

Results
- Total DFT energy (no corrections): -8.1628 eV/atom
- Magnetization: 0.0 μB/f.u.
- Mass density: 10233 kg/m³
- Formation energy without anion corrections: -4.795 eV per formula unit
- N(E_F): 2.79 states/eV/f.u.



No. 10
This record from the Alexandria database describes crystalline HfPaSbN at its relaxed geometry. The functional is PBE-GGA.

abc: 4.0874 4.0874 9.6795
angles: 90.00 90.00 90.00
Fractional positions:
Sb  0.5000  0.0000  0.7206
Sb  0.0000  0.5000  0.2794
Hf  0.5000  0.5000  0.5000
Hf  0.0000  0.0000  0.5000
N  0.5000  0.5000  0.0000
N  0.0000  0.0000  0.0000
Pa  0.0000  0.5000  0.8838
Pa  0.5000  0.0000  0.1162

Results
- Total DFT energy (no corrections): -8.9961 eV/atom
- Magnetization: 0.0 μB/f.u.
- Mass density: 11198 kg/m³
- Formation energy without anion corrections: -4.087 eV per formula unit
- N(E_F): 1.65 states/eV/f.u.



No. 11
This record from the Alexandria database describes crystalline Hf2ScPaN4 at its relaxed geometry. The functional is PBE-GGA.

abc: 3.2712 5.7134 5.6932
angles: 70.96 90.00 90.00
Fractional positions:
Hf  0.0000  0.0000  0.0000
Hf  0.5000  0.0000  0.5000
Sc  0.5000  0.5000  0.0000
N  0.0000  0.2402  0.2498
N  0.5000  0.7670  0.2357
N  0.5000  0.2330  0.7643
N  0.0000  0.7598  0.7502
Pa  0.0000  0.5000  0.5000

Results
- Total DFT energy (no corrections): -10.3941 eV/atom
- Magnetization: 0.0 μB/f.u.
- Mass density: 11375 kg/m³
- Formation energy without anion corrections: -14.117 eV per formula unit
- N(E_F): 3.03 states/eV/f.u.



No. 12
This record from the Alexandria database describes crystalline HfScPa2N6 at its relaxed geometry. The functional is PBE-GGA.

abc: 5.7372 5.7372 5.8774
angles: 60.79 60.79 60.00
Fractional positions:
N  0.9281  0.6210  0.2561
N  0.4378  0.6976  0.7527
N  0.1120  0.4378  0.7527
N  0.6210  0.1948  0.2561
N  0.6976  0.1120  0.7527
N  0.1948  0.9281  0.2561
Pa  0.5279  0.5279  0.4162
Pa  0.0278  0.0278  0.9166
Sc  0.3073  0.3073  0.0780
Hf  0.8074  0.8073  0.5780

Results
- Total DFT energy (no corrections): -10.0067 eV/atom
- Magnetization: 0.0 μB/f.u.
- Mass density: 9233 kg/m³
- Formation energy without anion corrections: -14.838 eV per formula unit
- N(E_F): 7.19 states/eV/f.u.